1.
# HfVBi3

An optimized crystal structure of HfVBi3 (PBE, Alexandria).

Cell: 5.6075 5.6075 5.6075 Å, 90.00 90.00 90.00°
With the nearest neighbours (Å) after each atom.
Fractional positions:
Bi (0.0000, 0.5000, 0.0000)  2 Hf 2.80
Bi (0.0000, 0.0000, 0.5000)  2 Hf 2.80
Bi (0.5000, 0.0000, 0.0000)  2 Hf 2.80
Hf (0.0000, 0.0000, 0.0000)  6 Bi 2.80
V (0.5000, 0.5000, 0.5000)  12 Bi 3.97

Output
Symmetry: Pm-3m, No. 221
E_tot: -5.280 eV per atom
DOS at the Fermi energy: 1.6648 states/eV per atom
Total magnetic moment: 0.7534 μB per atom
E above lowest polymorph: 4.1 kJ/mol of atoms

2.
# AlZnBi

An optimized crystal structure of AlZnBi (PBE, Alexandria).

Cell: 4.7504 4.7504 4.7504 Å, 60.00 60.00 60.00°
With the nearest neighbours (Å) after each atom.
Fractional positions:
Zn (0.0000, 0.0000, 0.0000)  4 Al 2.91
Al (0.2500, 0.2500, 0.2500)  4 Bi 2.91, 4 Zn 2.91
Bi (0.5000, 0.5000, 0.5000)  4 Al 2.91

Output
Symmetry: F-43m, No. 216
E_tot: -2.782 eV per atom
DOS at the Fermi energy: 0.0511 states/eV per atom
Total magnetic moment: 0.0000 μB per atom
E above lowest polymorph: 0.0 kJ/mol of atoms

3.
# Nd8Ho2Sc

An optimized crystal structure of Nd8Ho2Sc (PBE, Alexandria).

Cell: 6.6842 10.1506 10.1506 Å, 39.26 60.63 60.63°
With the nearest neighbours (Å) after each atom.
Fractional positions:
Nd (0.7729, 0.6608, 0.1771)  1 Sc 3.20, 5 Nd 3.30-3.52, 1 Ho 3.48
Nd (0.1591, 0.7535, 0.7535)  5 Nd 3.36-3.50, 2 Ho 3.42-3.56
Nd (0.7233, 0.5980, 0.5980)  6 Nd 3.37-3.66, 1 Ho 3.69
Nd (0.2767, 0.4020, 0.4020)  6 Nd 3.37-3.66, 1 Ho 3.69
Nd (0.2271, 0.8229, 0.3392)  1 Sc 3.20, 5 Nd 3.30-3.52, 1 Ho 3.48
Nd (0.7729, 0.1771, 0.6608)  1 Sc 3.20, 5 Nd 3.30-3.52, 1 Ho 3.48
Nd (0.2271, 0.3392, 0.8229)  1 Sc 3.20, 5 Nd 3.30-3.52, 1 Ho 3.48
Nd (0.8409, 0.2465, 0.2465)  5 Nd 3.36-3.50, 2 Ho 3.42-3.56
Ho (0.5575, 0.8148, 0.8148)  9 Nd 3.42-3.83, 1 Sc 3.56
Ho (0.4425, 0.1852, 0.1852)  9 Nd 3.42-3.83, 1 Sc 3.56
Sc (0.0000, 0.0000, 0.0000)  4 Nd 3.20, 2 Ho 3.56

Output
Symmetry: C2/m, No. 12
E_tot: -4.702 eV per atom
DOS at the Fermi energy: 1.6413 states/eV per atom
Total magnetic moment: 0.0000 μB per atom
E above lowest polymorph: 5.9 kJ/mol of atoms